1.
8
Lattice="4.777 0.000 0.000 -2.389 4.137 0.000 0.000 0.000 9.456" Properties=species:S:1:pos:R:3 comment="LaBiPd2 | Alexandria | PBE | relaxed" formation_enthalpy_0k_mev_per_atom=-749.5 energy_ev_per_atom=-5.5480 pbc="T T T"
La 0.000 2.758 2.364
La 2.389 1.379 7.092
Bi 0.000 0.000 0.000
Bi 0.000 0.000 4.728
Pd 0.000 2.758 5.598
Pd 0.000 2.758 8.587
Pd 2.389 1.379 0.869
Pd 2.389 1.379 3.859

2.
12
Lattice="4.184 0.000 0.000 0.000 4.184 0.000 0.000 0.000 12.427" Properties=species:S:1:pos:R:3 comment="LaBi2Pd9 | Alexandria | PBE | relaxed" formation_enthalpy_0k_mev_per_atom=-417.6 energy_ev_per_atom=-5.3696 pbc="T T T"
La 0.000 0.000 0.000
Bi 0.000 0.000 4.161
Bi 0.000 0.000 8.265
Pd 0.000 2.092 2.141
Pd 0.000 2.092 6.213
Pd 0.000 2.092 10.285
Pd 2.092 0.000 2.141
Pd 2.092 0.000 6.213
Pd 2.092 0.000 10.285
Pd 2.092 2.092 0.000
Pd 2.092 2.092 4.216
Pd 2.092 2.092 8.211

3.
8
Lattice="-2.382 2.382 9.705 2.382 -2.382 9.705 2.382 2.382 -9.705" Properties=species:S:1:pos:R:3 comment="LaBi2Pd | Alexandria | PBE | relaxed" formation_enthalpy_0k_mev_per_atom=-725.9 energy_ev_per_atom=-5.1965 pbc="T T T"
La 0.000 0.000 2.533
La 0.000 0.000 16.877
Bi 2.382 0.000 0.000
Bi 0.000 0.000 6.408
Bi 0.000 2.382 0.000
Bi 0.000 0.000 13.002
Pd 2.382 0.000 4.853
Pd 0.000 2.382 4.853

4.
4
Lattice="3.832 0.000 0.000 0.000 3.832 0.000 0.000 0.000 7.811" Properties=species:S:1:pos:R:3 comment="La2BiPd | Alexandria | PBE | relaxed" formation_enthalpy_0k_mev_per_atom=-748.7 energy_ev_per_atom=-5.4809 pbc="T T T"
La 0.000 0.000 1.720
La 0.000 0.000 6.091
Bi 1.916 1.916 3.906
Pd 1.916 1.916 0.000

| no. | N(E_F) (states/eV per cell) |
| --- | --- |
| 1 | 5.27 |
| 2 | 4.96 |
| 3 | 3.68 |
| 4 | 3.77 |